Y2ReTc | PBE-GGA | relaxed

Cell and atoms, written as POSCAR:
```
Y2ReTc
1.0
0.0000 3.4010 3.4010
3.4010 0.0000 3.4010
3.4010 3.4010 0.0000
Y Re Tc
2 1 1
Direct
0.0000 0.0000 0.0000
0.2500 0.2500 0.2500
0.5000 0.5000 0.5000
0.7500 0.7500 0.7500
```

## Properties
- Formation energy from the elements: 0.360 eV per atom
- Symmetry: F-43m, No. 216
- Size of the total moment: 0.00 Bohr magnetons per cell
- Distance to the lowest polymorph of the same formula: 1.336 eV/f.u.

Y2ReTc | PBE-GGA | relaxed

Cell and atoms, written as POSCAR:
```
Y2ReTc
1.0
3.0355 0.0000 0.0000
0.0000 4.6120 0.0000
-0.8455 0.0000 5.6826
Y Re Tc
2 1 1
Direct
0.2378 0.0000 0.2505
0.7622 0.0000 0.7495
0.5000 0.5000 0.0000
0.0000 0.5000 0.5000
```

## Properties
- Formation energy from the elements: 0.440 eV per atom
- Symmetry: P2/m, No. 10
- Size of the total moment: 0.00 Bohr magnetons per cell
- Distance to the lowest polymorph of the same formula: 1.657 eV/f.u.

YReTc2 | PBE-GGA | relaxed

Cell and atoms, written as POSCAR:
```
YReTc2
1.0
2.8441 -4.4697 0.0000
2.8441 4.4697 0.0000
-0.9873 0.0000 2.6554
Y Re Tc
1 1 2
Direct
0.0000 0.0000 0.0000
0.5000 0.5000 0.0000
0.0000 0.5000 0.5000
0.5000 0.0000 0.5000
```

## Properties
- Formation energy from the elements: 0.343 eV per atom
- Symmetry: C2/m, No. 12
- Size of the total moment: 0.00 Bohr magnetons per cell

Y2ReTc | PBE-GGA | relaxed

Cell and atoms, written as POSCAR:
```
Y2ReTc
1.0
-2.0363 2.0363 4.9487
2.0363 -2.0363 4.9487
2.0363 2.0363 -4.9487
Y Re Tc
2 1 1
Direct
0.0000 0.0000 0.0000
0.7500 0.2500 0.5000
0.2500 0.7500 0.5000
0.5000 0.5000 0.0000
```

## Properties
- Formation energy from the elements: 0.504 eV per atom
- Symmetry: I-4m2, No. 119
- Size of the total moment: 0.00 Bohr magnetons per cell
- Distance to the lowest polymorph of the same formula: 1.913 eV/f.u.

YReTc2 | PBE-GGA | relaxed

Cell and atoms, written as POSCAR:
```
YReTc2
1.0
4.5977 0.0000 0.0000
0.0000 4.5977 0.0000
0.0000 0.0000 3.2005
Y Re Tc
1 1 2
Direct
0.0000 0.0000 0.0000
0.5000 0.5000 0.0000
0.0000 0.5000 0.5000
0.5000 0.0000 0.5000
```

## Properties
- Formation energy from the elements: 0.233 eV per atom
- Symmetry: P4/mmm, No. 123
- Size of the total moment: 0.00 Bohr magnetons per cell

Y2ReTc3 | PBE-GGA | relaxed

Cell and atoms, written as POSCAR:
```
Y2ReTc3
1.0
2.7427 1.5835 4.3087
-2.7427 1.5835 4.3087
0.0000 -3.1670 4.3087
Y Re Tc
2 1 3
Direct
0.1259 0.1259 0.1259
0.8741 0.8741 0.8741
0.5000 0.5000 0.5000
0.0000 0.5000 0.5000
0.5000 0.0000 0.5000
0.5000 0.5000 0.0000
```

## Properties
- Formation energy from the elements: -0.156 eV per atom
- Symmetry: R-3m, No. 166
- Size of the total moment: 0.00 Bohr magnetons per cell

Y2ReTc | PBE-GGA | relaxed

Cell and atoms, written as POSCAR:
```
Y2ReTc
1.0
1.6423 0.9482 8.8372
-1.6423 0.9482 8.8372
0.0000 -1.8964 8.8372
Y Re Tc
2 1 1
Direct
0.2487 0.2487 0.2487
0.7513 0.7513 0.7513
0.0000 0.0000 0.0000
0.5000 0.5000 0.5000
```

## Properties
- Formation energy from the elements: 0.587 eV per atom
- Symmetry: R-3m, No. 166
- Size of the total moment: 0.00 Bohr magnetons per cell
- Distance to the lowest polymorph of the same formula: 2.247 eV/f.u.

YReTc2 | PBE-GGA | relaxed

Cell and atoms, written as POSCAR:
```
YReTc2
1.0
2.9408 0.0000 0.0000
0.0000 4.2522 0.0000
-1.1637 0.0000 5.6588
Y Re Tc
1 1 2
Direct
0.0000 0.0000 0.0000
0.5000 0.0000 0.5000
0.2785 0.5000 0.7056
0.7215 0.5000 0.2944
```

## Properties
- Formation energy from the elements: 0.280 eV per atom
- Symmetry: P2/m, No. 10
- Size of the total moment: 0.00 Bohr magnetons per cell

YReTc2 | PBE-GGA | relaxed

Cell and atoms, written as POSCAR:
```
YReTc2
1.0
5.1837 -1.5773 0.0000
5.1837 1.5773 0.0000
-2.1162 0.0000 4.1943
Y Re Tc
1 1 2
Direct
0.0000 0.0000 0.0000
0.7689 0.7689 0.2694
0.2345 0.2345 0.7341
0.4977 0.4977 0.4977
```

## Properties
- Formation energy from the elements: 0.248 eV per atom
- Symmetry: Cm, No. 8
- Size of the total moment: 0.00 Bohr magnetons per cell

ZnReTc2 | PBE-GGA | relaxed

Cell and atoms, written as POSCAR:
```
ZnReTc2
1.0
1.4553 -2.2561 0.0000
1.4553 2.2561 0.0000
0.0000 0.0000 9.0276
Zn Re Tc
1 1 2
Direct
0.0000 0.0000 0.0000
0.0000 0.0000 0.5000
0.5000 0.5000 0.2518
0.5000 0.5000 0.7482
```

## Properties
- Formation energy from the elements: 0.198 eV per atom
- Symmetry: Cmmm, No. 65
- Size of the total moment: 0.00 Bohr magnetons per cell

Zn2ReTc | PBE-GGA | relaxed

Cell and atoms, written as POSCAR:
```
Zn2ReTc
1.0
2.6830 0.0000 0.0000
0.0000 4.2726 0.0000
-0.9461 0.0000 5.0865
Zn Re Tc
2 1 1
Direct
0.0000 0.0000 0.0000
0.0983 0.5000 0.7663
0.6502 0.5000 0.2664
0.4564 0.0000 0.4989
```

## Properties
- Formation energy from the elements: 0.171 eV per atom
- Symmetry: Pm, No. 6
- Size of the total moment: 0.00 Bohr magnetons per cell
- Distance to the lowest polymorph of the same formula: 0.567 eV/f.u.

Zn2ReTc | PBE-GGA | relaxed

Cell and atoms, written as POSCAR:
```
Zn2ReTc
1.0
-1.8589 1.8589 4.2056
1.8589 -1.8589 4.2056
1.8589 1.8589 -4.2056
Zn Re Tc
2 1 1
Direct
0.2500 0.7500 0.5000
0.7500 0.2500 0.5000
0.0000 0.0000 0.0000
0.5000 0.5000 0.0000
```

## Properties
- Formation energy from the elements: 0.323 eV per atom
- Symmetry: I4/mmm, No. 139
- Size of the total moment: 0.00 Bohr magnetons per cell
- Distance to the lowest polymorph of the same formula: 1.176 eV/f.u.